Record 1
{
  "formula": "Rb2UBr2Cl4",
  "functional": "PBE",
  "state": "optimized geometry",
  "sg": "I4/mmm (139)",
  "n_ef_per_ev_atom": 0.813,
  "raw_formation_energy_ev_per_atom": -1.774,
  "cell": [[-3.806, 3.806, 5.580], [3.806, -3.806, 5.580], [3.806, 3.806, -5.580]],
  "species": ["Rb", "Rb", "U", "Br", "Br", "Cl", "Cl", "Cl", "Cl"],
  "frac_coords": [[0.250, 0.750, 0.500], [0.750, 0.250, 0.500], [0.000, 0.000, 0.000], [0.252, 0.252, 0.000], [0.748, 0.748, 0.000], [0.242, 0.242, 0.484], [0.242, 0.758, 0.000], [0.758, 0.242, 0.000], [0.758, 0.758, 0.516]]
}


Record 2
{
  "formula": "Li3PrSb3",
  "functional": "PBE",
  "state": "optimized geometry",
  "sg": "Pm-3n (223)",
  "n_ef_per_ev_atom": 0.608,
  "raw_formation_energy_ev_per_atom": -0.150,
  "cell": [[7.118, 0.000, 0.000], [0.000, 7.118, 0.000], [0.000, 0.000, 7.118]],
  "species": ["Li", "Li", "Li", "Li", "Li", "Li", "Pr", "Pr", "Sb", "Sb", "Sb", "Sb", "Sb", "Sb"],
  "frac_coords": [[0.000, 0.250, 0.500], [0.000, 0.750, 0.500], [0.250, 0.500, 0.000], [0.500, 0.000, 0.250], [0.500, 0.000, 0.750], [0.750, 0.500, 0.000], [0.000, 0.000, 0.000], [0.500, 0.500, 0.500], [0.000, 0.500, 0.250], [0.000, 0.500, 0.750], [0.250, 0.000, 0.500], [0.500, 0.250, 0.000], [0.500, 0.750, 0.000], [0.750, 0.000, 0.500]]
}


Record 3
{
  "formula": "Zn4InFe",
  "functional": "PBE",
  "state": "optimized geometry",
  "sg": "F-43m (216)",
  "n_ef_per_ev_atom": 1.055,
  "e_form_ev_per_atom": 0.23,
  "cell": [[0.000, 3.606, 3.606], [3.606, 0.000, 3.606], [3.606, 3.606, 0.000]],
  "species": ["Zn", "Zn", "Zn", "Zn", "In", "Fe"],
  "frac_coords": [[0.124, 0.124, 0.124], [0.124, 0.124, 0.628], [0.124, 0.628, 0.124], [0.628, 0.124, 0.124], [0.500, 0.500, 0.500], [0.750, 0.750, 0.750]]
}


Record 4
{
  "formula": "AsWBr2",
  "functional": "PBE",
  "state": "optimized geometry",
  "sg": "Fm-3m (225)",
  "de_polymorph_mev_per_atom": 1226,
  "n_ef_per_ev_atom": 0.554,
  "raw_formation_energy_ev_per_atom": 1.199,
  "cell": [[6.697, 0.000, 0.000], [0.000, 6.697, 0.000], [0.000, 0.000, 6.697]],
  "species": ["As", "As", "As", "As", "W", "W", "W", "W", "Br", "Br", "Br", "Br", "Br", "Br", "Br", "Br"],
  "frac_coords": [[0.000, 0.000, 0.000], [0.000, 0.500, 0.500], [0.500, 0.000, 0.500], [0.500, 0.500, 0.000], [0.000, 0.000, 0.500], [0.000, 0.500, 0.000], [0.500, 0.000, 0.000], [0.500, 0.500, 0.500], [0.250, 0.250, 0.250], [0.250, 0.250, 0.750], [0.250, 0.750, 0.250], [0.250, 0.750, 0.750], [0.750, 0.250, 0.250], [0.750, 0.250, 0.750], [0.750, 0.750, 0.250], [0.750, 0.750, 0.750]]
}


Record 5
{
  "formula": "MoIBr",
  "functional": "PBE",
  "state": "optimized geometry",
  "sg": "P3_2 (145)",
  "de_polymorph_mev_per_atom": 599,
  "n_ef_per_ev_atom": 0.238,
  "raw_formation_energy_ev_per_atom": 0.307,
  "cell": [[6.576, 0.000, 0.000], [-3.288, 5.695, 0.000], [0.000, 0.000, 7.612]],
  "species": ["Mo", "Mo", "Mo", "I", "I", "I", "Br", "Br", "Br"],
  "frac_coords": [[0.000, 0.232, 0.000], [0.232, 0.000, 0.333], [0.768, 0.768, 0.667], [0.000, 0.705, 0.000], [0.295, 0.295, 0.667], [0.705, 0.000, 0.333], [0.001, 0.610, 0.500], [0.390, 0.391, 0.167], [0.609, 0.999, 0.833]]
}


Record 6
{
  "formula": "LiMg2Ir",
  "functional": "PBE",
  "state": "optimized geometry",
  "sg": "F-43m (216)",
  "n_ef_per_ev_atom": 0.296,
  "e_form_ev_per_atom": -0.19,
  "cell": [[6.340, 0.000, 0.000], [0.000, 6.340, 0.000], [0.000, 0.000, 6.340]],
  "species": ["Li", "Li", "Li", "Li", "Mg", "Mg", "Mg", "Mg", "Mg", "Mg", "Mg", "Mg", "Ir", "Ir", "Ir", "Ir"],
  "frac_coords": [[0.000, 0.000, 0.000], [0.000, 0.500, 0.500], [0.500, 0.000, 0.500], [0.500, 0.500, 0.000], [0.000, 0.000, 0.500], [0.000, 0.500, 0.000], [0.250, 0.250, 0.250], [0.250, 0.750, 0.750], [0.500, 0.000, 0.000], [0.500, 0.500, 0.500], [0.750, 0.250, 0.750], [0.750, 0.750, 0.250], [0.250, 0.250, 0.750], [0.250, 0.750, 0.250], [0.750, 0.250, 0.250], [0.750, 0.750, 0.750]]
}


Record 7
{
  "formula": "NpTi2Ir",
  "functional": "PBE",
  "state": "optimized geometry",
  "sg": "Fm-3m (225)",
  "de_polymorph_mev_per_atom": 188,
  "n_ef_per_ev_atom": 2.901,
  "e_form_ev_per_atom": -0.10,
  "cell": [[6.444, 0.000, 0.000], [0.000, 6.444, 0.000], [0.000, 0.000, 6.444]],
  "species": ["Np", "Np", "Np", "Np", "Ti", "Ti", "Ti", "Ti", "Ti", "Ti", "Ti", "Ti", "Ir", "Ir", "Ir", "Ir"],
  "frac_coords": [[0.000, 0.000, 0.000], [0.000, 0.500, 0.500], [0.500, 0.000, 0.500], [0.500, 0.500, 0.000], [0.250, 0.250, 0.250], [0.250, 0.250, 0.750], [0.250, 0.750, 0.250], [0.250, 0.750, 0.750], [0.750, 0.250, 0.250], [0.750, 0.250, 0.750], [0.750, 0.750, 0.250], [0.750, 0.750, 0.750], [0.000, 0.000, 0.500], [0.000, 0.500, 0.000], [0.500, 0.000, 0.000], [0.500, 0.500, 0.500]]
}


Record 8
{
  "formula": "BiS2Cl",
  "functional": "PBE",
  "state": "optimized geometry",
  "sg": "Fm-3m (225)",
  "de_polymorph_mev_per_atom": 428,
  "n_ef_per_ev_atom": 1.677,
  "raw_formation_energy_ev_per_atom": 0.306,
  "cell": [[6.924, 0.000, 0.000], [0.000, 6.924, 0.000], [0.000, 0.000, 6.924]],
  "species": ["Bi", "Bi", "Bi", "Bi", "S", "S", "S", "S", "S", "S", "S", "S", "Cl", "Cl", "Cl", "Cl"],
  "frac_coords": [[0.000, 0.000, 0.000], [0.000, 0.500, 0.500], [0.500, 0.000, 0.500], [0.500, 0.500, 0.000], [0.250, 0.250, 0.250], [0.250, 0.250, 0.750], [0.250, 0.750, 0.250], [0.250, 0.750, 0.750], [0.750, 0.250, 0.250], [0.750, 0.250, 0.750], [0.750, 0.750, 0.250], [0.750, 0.750, 0.750], [0.000, 0.000, 0.500], [0.000, 0.500, 0.000], [0.500, 0.000, 0.000], [0.500, 0.500, 0.500]]
}


Record 9
{
  "formula": "Dy6Tl5H",
  "functional": "PBE",
  "state": "optimized geometry",
  "sg": "C2/m (12)",
  "n_ef_per_ev_atom": 1.152,
  "total_energy_ev_per_fu": -44.4,
  "cell": [[3.944, -5.409, 0.000], [3.944, 5.409, 0.000], [-1.650, 0.000, 7.965]],
  "species": ["Dy", "Dy", "Dy", "Dy", "Dy", "Dy", "Tl", "Tl", "Tl", "Tl", "Tl", "H"],
  "frac_coords": [[0.068, 0.405, 0.733], [0.169, 0.169, 0.317], [0.405, 0.068, 0.733], [0.595, 0.932, 0.267], [0.831, 0.831, 0.683], [0.932, 0.595, 0.267], [0.164, 0.836, 0.000], [0.352, 0.648, 0.500], [0.500, 0.500, 0.000], [0.648, 0.352, 0.500], [0.836, 0.164, 0.000], [0.000, 0.000, 0.500]]
}


Record 10
{
  "formula": "Dy2Np2Se7",
  "functional": "PBE",
  "state": "optimized geometry",
  "sg": "P-4m2 (115)",
  "n_ef_per_ev_atom": 2.118,
  "raw_formation_energy_ev_per_atom": -1.284,
  "cell": [[4.814, 0.000, 0.000], [0.000, 4.814, 0.000], [0.000, 0.000, 13.587]],
  "species": ["Dy", "Dy", "Np", "Np", "Se", "Se", "Se", "Se", "Se", "Se", "Se"],
  "frac_coords": [[0.000, 0.500, 0.139], [0.500, 0.000, 0.861], [0.000, 0.500, 0.624], [0.500, 0.000, 0.376], [0.000, 0.000, 0.238], [0.000, 0.000, 0.500], [0.000, 0.000, 0.762], [0.500, 0.500, 0.000], [0.500, 0.500, 0.259], [0.500, 0.500, 0.500], [0.500, 0.500, 0.741]]
}


Record 11
{
  "formula": "SrZrAs3",
  "functional": "PBE",
  "state": "optimized geometry",
  "sg": "Pm-3m (221)",
  "de_polymorph_mev_per_atom": 1581,
  "n_ef_per_ev_atom": 1.070,
  "e_form_ev_per_atom": 1.03,
  "cell": [[5.314, 0.000, 0.000], [0.000, 5.314, 0.000], [0.000, 0.000, 5.314]],
  "species": ["Sr", "Zr", "As", "As", "As"],
  "frac_coords": [[0.000, 0.000, 0.000], [0.500, 0.500, 0.500], [0.000, 0.000, 0.500], [0.000, 0.500, 0.000], [0.500, 0.000, 0.000]]
}


Record 12
{
  "formula": "Li2URhO6",
  "functional": "PBE",
  "state": "optimized geometry",
  "sg": "R3 (146)",
  "n_ef_per_ev_atom": 0.587,
  "raw_formation_energy_ev_per_atom": -2.056,
  "cell": [[2.644, 1.527, 4.721], [-2.644, 1.527, 4.721], [0.000, -3.053, 4.721]],
  "species": ["Li", "Li", "U", "Rh", "O", "O", "O", "O", "O", "O"],
  "frac_coords": [[0.000, 0.000, 0.000], [0.499, 0.499, 0.499], [0.215, 0.215, 0.215], [0.714, 0.714, 0.714], [0.087, 0.458, 0.833], [0.340, 0.943, 0.601], [0.458, 0.833, 0.087], [0.601, 0.340, 0.943], [0.833, 0.087, 0.458], [0.943, 0.601, 0.340]]
}